A geometry-optimized In3Fe5I12 structure. Source: the Alexandria database, functional GGA-PBE.

The space-group type is No. 230. Its raw formation energy is -11.9 kJ per mole of atoms. The value obtained for the calculated total energy is -3.580 eV per atom.

a b c (Å): 15.5075 15.5075 15.5075
angles (deg): 109.47 109.47 109.47
With the nearest neighbours (Å) after each atom.
Atoms (fractional coordinates):
I 0.5956 0.6129 0.4151  2 Fe 2.63-2.85
I 0.4044 0.3871 0.5849  2 Fe 2.63-2.85
I 0.5174 0.1978 0.1129  2 Fe 2.63-2.85
I 0.3022 0.4151 0.8195  2 Fe 2.63-2.85
I 0.1129 0.4151 0.0956  2 Fe 2.63-2.85
I 0.3022 0.8871 0.9826  2 Fe 2.63-2.85
I 0.3871 0.9826 0.8022  2 Fe 2.63-2.85
I 0.8871 0.3022 0.4826  2 Fe 2.63-2.85
I 0.6129 0.0174 0.1978  2 Fe 2.63-2.85
I 0.6978 0.1129 0.0174  2 Fe 2.63-2.85
I 0.4151 0.1129 0.5956  2 Fe 2.63-2.85
I 0.3195 0.8022 0.4151  2 Fe 2.63-2.85
I 0.1805 0.0849 0.6978  2 Fe 2.63-2.85
I 0.8871 0.5849 0.9044  2 Fe 2.63-2.85
I 0.0956 0.1805 0.4826  2 Fe 2.63-2.85
I 0.6805 0.4826 0.5956  2 Fe 2.63-2.85
I 0.9826 0.5956 0.1805  2 Fe 2.63-2.85
I 0.6805 0.1978 0.5849  2 Fe 2.63-2.85
I 0.9826 0.3871 0.3022  2 Fe 2.63-2.85
I 0.4044 0.0174 0.3195  2 Fe 2.63-2.85
I 0.5849 0.6978 0.6805  2 Fe 2.63-2.85
I 0.3195 0.5174 0.4044  2 Fe 2.63-2.85
I 0.0956 0.9151 0.1129  2 Fe 2.63-2.85
I 0.8022 0.4826 0.3871  2 Fe 2.63-2.85
I 0.0174 0.6129 0.6978  2 Fe 2.63-2.85
I 0.0849 0.9044 0.3871  2 Fe 2.63-2.85
I 0.9151 0.0956 0.6129  2 Fe 2.63-2.85
I 0.8195 0.9044 0.0174  2 Fe 2.63-2.85
I 0.0849 0.1805 0.1978  2 Fe 2.63-2.85
I 0.0174 0.4044 0.8195  2 Fe 2.63-2.85
I 0.4826 0.8022 0.8871  2 Fe 2.63-2.85
I 0.4151 0.3022 0.3195  2 Fe 2.63-2.85
I 0.5174 0.3195 0.9044  2 Fe 2.63-2.85
I 0.1978 0.5174 0.6129  2 Fe 2.63-2.85
I 0.5956 0.9826 0.6805  2 Fe 2.63-2.85
I 0.9044 0.8195 0.5174  2 Fe 2.63-2.85
I 0.8195 0.9151 0.3022  2 Fe 2.63-2.85
I 0.8022 0.3195 0.9151  2 Fe 2.63-2.85
I 0.3871 0.4044 0.0849  2 Fe 2.63-2.85
I 0.6129 0.5956 0.9151  2 Fe 2.63-2.85
I 0.1978 0.6805 0.0849  2 Fe 2.63-2.85
I 0.4826 0.6805 0.0956  2 Fe 2.63-2.85
I 0.1129 0.6978 0.5174  2 Fe 2.63-2.85
I 0.5849 0.8871 0.4044  2 Fe 2.63-2.85
I 0.1805 0.0956 0.9826  2 Fe 2.63-2.85
I 0.9151 0.8195 0.8022  2 Fe 2.63-2.85
I 0.6978 0.5849 0.1805  2 Fe 2.63-2.85
I 0.9044 0.0849 0.8871  2 Fe 2.63-2.85
In 0.8750 0.1250 0.2500  8 I 3.51-3.63
In 0.7500 0.8750 0.6250  8 I 3.51-3.63
In 0.3750 0.6250 0.2500  8 I 3.51-3.63
In 0.3750 0.7500 0.6250  8 I 3.51-3.63
In 0.2500 0.6250 0.8750  8 I 3.51-3.63
In 0.6250 0.3750 0.7500  8 I 3.51-3.63
In 0.6250 0.2500 0.3750  8 I 3.51-3.63
In 0.2500 0.1250 0.3750  8 I 3.51-3.63
In 0.1250 0.2500 0.8750  8 I 3.51-3.63
In 0.8750 0.7500 0.1250  8 I 3.51-3.63
In 0.7500 0.3750 0.1250  8 I 3.51-3.63
In 0.1250 0.8750 0.7500  8 I 3.51-3.63
Fe 0.1250 0.7500 0.3750  4 I 2.63
Fe 0.5000 0.0000 0.0000  6 I 2.85
Fe 0.5000 0.5000 0.0000  6 I 2.85
Fe 0.2500 0.3750 0.6250  4 I 2.63
Fe 0.3750 0.2500 0.1250  4 I 2.63
Fe 0.0000 0.5000 0.5000  6 I 2.85
Fe 0.0000 0.5000 0.0000  6 I 2.85
Fe 0.8750 0.6250 0.7500  4 I 2.63
Fe 0.6250 0.7500 0.8750  4 I 2.63
Fe 0.0000 0.0000 0.0000  6 I 2.85
Fe 0.5000 0.5000 0.5000  6 I 2.85
Fe 0.0000 0.0000 0.5000  6 I 2.85
Fe 0.1250 0.3750 0.2500  4 I 2.63
Fe 0.7500 0.6250 0.3750  4 I 2.63
Fe 0.5000 0.0000 0.5000  6 I 2.85
Fe 0.3750 0.1250 0.7500  4 I 2.63
Fe 0.8750 0.2500 0.6250  4 I 2.63
Fe 0.2500 0.8750 0.1250  4 I 2.63
Fe 0.6250 0.8750 0.2500  4 I 2.63
Fe 0.7500 0.1250 0.8750  4 I 2.63



A geometry-optimized Li3Ag7Sb structure. Source: the Alexandria database, functional GGA-PBE.

The space-group type is No. 12. Its raw formation energy is 1.4 kJ per mole of atoms. The value obtained for the calculated total energy is -2.696 eV per atom.

a b c (Å): 5.3827 6.5429 6.5429
angles (deg): 97.59 104.69 104.69
With the nearest neighbours (Å) after each atom.
Atoms (fractional coordinates):
Ag 0.6958 0.9407 0.4102  3 Li 2.62-2.74, 1 Ag 2.88
Ag 0.9572 0.8241 0.8241  3 Li 2.69-2.73, 6 Ag 2.89-3.01, 1 Sb 2.93
Ag 0.6958 0.4102 0.9407  3 Li 2.62-2.74, 1 Ag 2.88
Ag 0.0428 0.1759 0.1759  3 Li 2.69-2.73, 6 Ag 2.89-3.01, 1 Sb 2.93
Ag 0.3042 0.0593 0.5898  3 Li 2.62-2.74, 1 Ag 2.88
Ag 0.0000 0.5000 0.5000  2 Li 2.65, 2 Sb 2.69, 2 Ag 2.89
Ag 0.3042 0.5898 0.0593  3 Li 2.62-2.74, 1 Ag 2.88
Li 0.0000 0.7695 0.2305  7 Ag 2.62-2.69
Li 0.5000 0.0000 0.0000  6 Ag 2.73-2.74
Li 0.0000 0.2305 0.7695  7 Ag 2.62-2.69
Sb 0.5000 0.5000 0.5000  8 Ag 2.69-3.00



A geometry-optimized BeCd4Ru structure. Source: the Alexandria database, functional GGA-PBE.

The space-group type is No. 216. As for the energy of formation: 729.4 meV per atom. The value obtained for the calculated total energy is -2.048 eV per atom.

a b c (Å): 5.4561 5.4561 5.4561
angles (deg): 60.00 60.00 60.00
With the nearest neighbours (Å) after each atom.
Atoms (fractional coordinates):
Cd 0.8742 0.3753 0.3753  6 Cd 2.72-2.73
Cd 0.3753 0.3753 0.3753  6 Cd 2.72-2.73
Cd 0.3753 0.3753 0.8742  6 Cd 2.72-2.73
Cd 0.3753 0.8742 0.3753  6 Cd 2.72-2.73
Be 0.0000 0.0000 0.0000  12 Cd 3.20, 4 Ru 3.34
Ru 0.7500 0.7500 0.7500  12 Cd 3.20, 4 Be 3.34



A geometry-optimized In2MoH structure. Source: the Alexandria database, functional GGA-PBE.

The space-group type is No. 225. The value obtained for the calculated total energy is -3.919 eV per atom.

a b c (Å): 4.7202 4.7202 4.7202
angles (deg): 60.00 60.00 60.00
With the nearest neighbours (Å) after each atom.
Atoms (fractional coordinates):
H 0.0000 0.0000 0.0000  8 In 2.89
Mo 0.5000 0.5000 0.5000  8 In 2.89
In 0.2500 0.2500 0.2500  4 H 2.89, 4 Mo 2.89
In 0.7500 0.7500 0.7500  4 Mo 2.89, 4 H 2.89



Number 1: size of the total moment 3.9 μB/f.u.. Number 2: size of the total moment 0.0 μB/f.u.. Number 3: size of the total moment 0.0 μB/f.u.. Number 4: size of the total moment 3.0 μB/f.u..